! MgPt2Pb PBE relaxed; values from VASP
! D(E_F), states/eV per cell: 4.99
! VASP energy, eV/atom: -4.44
&SYSTEM
  ibrav = 0, nat = 8, ntyp = 3
/
ATOMIC_SPECIES
Mg 24.30 Mg.upf
Pt 195.08 Pt.upf
Pb 207.20 Pb.upf
ATOMIC_POSITIONS crystal
Mg 0.000 0.000 0.000
Mg 0.750 0.250 0.500
Pt 0.104 0.625 0.979
Pt 0.375 0.354 0.479
Pt 0.646 0.125 0.021
Pt 0.875 0.896 0.521
Pb 0.250 0.750 0.500
Pb 0.500 0.500 0.000
CELL_PARAMETERS angstrom
-2.102 2.102 9.180
2.102 -2.102 9.180
2.102 2.102 -9.180